TeRu2OF | SCAN | single point on PBEsol structure

Lattice parameters (Å, degrees): 3.9742 3.9742 4.4585 90.00 90.00 90.00
Last column: magnetic moment on the atom in μB.
Atoms (fractional coordinates):
Ru: 0.0000 0.5000 0.0000  0.69
Ru: 0.5000 0.0000 0.0000  0.69
Te: 0.5000 0.5000 0.5000  0.00
O: 0.0000 0.0000 0.5000  0.68
F: 0.0000 0.0000 0.0000  0.01

ΔE_f (raw) = 3.63 eV per formula unit
SG = No. 123
theoretical density = 8.6 Mg/m³
raw total energy = -22.61 eV/atom

***

TlRuO2F | SCAN | single point on PBEsol structure

Lattice parameters (Å, degrees): 4.2019 4.2019 4.3369 90.00 90.00 90.00
Last column: magnetic moment on the atom in μB.
Atoms (fractional coordinates):
Ru: 0.5000 0.5000 0.5000  3.30
Tl: 0.0000 0.0000 0.0000  0.00
O: 0.0000 0.5000 0.0000  0.15
O: 0.5000 0.0000 0.0000  0.15
F: 0.0000 0.0000 0.5000  0.03

ΔE_f (raw) = 0.57 eV per formula unit
SG = No. 123
theoretical density = 7.7 Mg/m³
raw total energy = -24.52 eV/atom

***

no.,N(E_F) (states/eV/cell)
1,4.50
2,1.69